A) A relaxed structure of KNa6Hg. Source: Alexandria, functional PBE-GGA.

Computed properties:
**ρ**: 1913 kg/m3

Unit cell a=5.2347 b=5.2347 c=11.9651 alpha=90.00 beta=90.00 gamma=90.00
Last column: nearest neighbours and their distance in Å.
Space group P4/mmm (No. 123)
Inequivalent atoms, fractional coordinates:
K: 0.0000 0.0000 0.0000 (multiplicity 1)  8 Na 4.08
Na: 0.0000 0.5000 0.3505 (multiplicity 4)  2 Hg 3.17
Na: 0.5000 0.5000 0.1433 (multiplicity 2)  5 Na 3.43-3.60
Hg: 0.0000 0.0000 0.5000 (multiplicity 1)  8 Na 3.17

***

B) A relaxed structure of KNa6Hg. Source: Alexandria, functional PBE-GGA.

Computed properties:
**ρ**: 2158 kg/m3

Unit cell a=5.3126 b=5.3126 c=10.2964 alpha=90.00 beta=90.00 gamma=90.00
Last column: nearest neighbours and their distance in Å.
Space group P4/mmm (No. 123)
Inequivalent atoms, fractional coordinates:
K: 0.0000 0.0000 0.0000 (multiplicity 1)  12 Na 3.76-4.03
Na: 0.0000 0.5000 0.2945 (multiplicity 4)  2 Hg 3.40, 6 Na 3.40-3.76
Na: 0.5000 0.5000 0.0000 (multiplicity 1)  4 K 3.76, 8 Na 4.03
Na: 0.5000 0.5000 0.5000 (multiplicity 1)  8 Na 3.40, 4 Hg 3.76
Hg: 0.0000 0.0000 0.5000 (multiplicity 1)  12 Na 3.40-3.76

***

Most favorable structure: B). The second most favorable one is 0.035 eV/atom above it.

***

A) A relaxed structure of KNa9Hg2. Source: Alexandria, functional PBE-GGA.

Computed properties:
**ρ**: 2431 kg/m3

Unit cell a=10.9505 b=10.9505 c=4.2572 alpha=90.00 beta=90.00 gamma=120.00
Last column: nearest neighbours and their distance in Å.
Space group P6/mmm (No. 191)
Inequivalent atoms, fractional coordinates:
K: 0.0000 0.0000 0.0000 (multiplicity 1)  2 K 4.26, 12 Na 4.44
Na: 0.0000 0.5000 0.0000 (multiplicity 3)  2 Hg 3.16
Na: 0.2054 0.4109 0.5000 (multiplicity 6)  2 Hg 3.23, 4 Na 3.57
Hg: 0.3333 0.6667 0.0000 (multiplicity 2)  9 Na 3.16-3.23

***

B) A relaxed structure of KNa9Hg2. Source: Alexandria, functional PBE-GGA.

Computed properties:
**ρ**: 2542 kg/m3

Unit cell a=13.8643 b=13.8643 c=8.7989 alpha=90.00 beta=90.00 gamma=90.00
Last column: nearest neighbours and their distance in Å.
Space group I4_1/amd (No. 141, origin choice 2)
Inequivalent atoms, fractional coordinates:
K: 0.0000 0.2500 0.3750 (multiplicity 4)  18 Na 4.23-4.59
Na: 0.0000 0.2500 0.8750 (multiplicity 4)  8 Na 3.59, 4 Hg 3.64
Na: 0.1222 0.0548 0.6896 (multiplicity 32)  2 Hg 3.28-3.30, 6 Na 3.39-3.67
Hg: 0.0000 0.0000 0.0000 (multiplicity 8)  10 Na 3.28-3.64

***

Most favorable structure: B). The second most favorable one is 0.006 eV/atom above it.

***

A) A relaxed structure of KNa6Hg2. Source: Alexandria, functional PBE-GGA.

Computed properties:
**ρ**: 3178 kg/m3

Unit cell a=12.3493 b=5.8602 c=10.0261 alpha=90.00 beta=123.62 gamma=90.00
Last column: nearest neighbours and their distance in Å.
Space group C2/m (No. 12)
Inequivalent atoms, fractional coordinates:
K: 0.0000 0.0000 0.0000 (multiplicity 2)  4 Hg 3.74, 10 Na 3.75-3.97
Na: 0.1175 0.0000 0.4440 (multiplicity 4)  3 Hg 3.28-3.30, 4 Na 3.53-3.65
Na: 0.1494 0.5000 0.6598 (multiplicity 4)  2 Hg 3.19-3.48, 4 Na 3.29-3.56
Na: 0.2252 0.5000 0.0908 (multiplicity 4)  2 Hg 3.24-3.44, 2 Na 3.60
Hg: 0.0719 0.5000 0.2686 (multiplicity 4)  7 Na 3.19-3.48

***

B) A relaxed structure of KNa6Hg2. Source: Alexandria, functional PBE-GGA.

Computed properties:
**ρ**: 3025 kg/m3

Unit cell a=5.0086 b=5.0086 c=12.6522 alpha=90.00 beta=90.00 gamma=90.00
Last column: nearest neighbours and their distance in Å.
Space group P4/mmm (No. 123)
Inequivalent atoms, fractional coordinates:
K: 0.0000 0.0000 0.0000 (multiplicity 1)  8 Hg 3.84
Na: 0.0000 0.0000 0.5000 (multiplicity 1)  12 Na 3.54-3.77
Na: 0.0000 0.5000 0.2775 (multiplicity 4)  2 Hg 3.22, 4 Na 3.54
Na: 0.5000 0.5000 0.5000 (multiplicity 1)  12 Na 3.54-3.77
Hg: 0.5000 0.5000 0.1171 (multiplicity 2)  1 Hg 2.96, 4 Na 3.22

***

Most favorable structure: A). The second most favorable one is 0.009 eV/atom above it.

***

A) A relaxed structure of K3Na2Hg. Source: Alexandria, functional PBE-GGA.

Computed properties:
**ρ**: 1922 kg/m3

Unit cell a=12.3568 b=11.3210 c=9.7894 alpha=90.00 beta=113.33 gamma=90.00
Last column: nearest neighbours and their distance in Å.
Space group C2/c (No. 15)
Inequivalent atoms, fractional coordinates:
K: 0.0000 0.1260 0.2500 (multiplicity 4)  1 Hg 3.43, 2 Na 3.81
K: 0.1667 0.4290 0.9692 (multiplicity 8)  1 Hg 3.67, 2 Na 3.96-4.04
Na: 0.1934 0.2319 0.6399 (multiplicity 8)  1 Hg 3.05
Hg: 0.0000 0.1768 0.7500 (multiplicity 4)  2 Na 3.05

***

B) A relaxed structure of K3Na2Hg. Source: Alexandria, functional PBE-GGA.

Computed properties:
**ρ**: 2086 kg/m3

Unit cell a=17.6241 b=8.9593 c=7.3369 alpha=90.00 beta=90.40 gamma=90.00
Last column: nearest neighbours and their distance in Å.
Space group C2/c (No. 15)
Inequivalent atoms, fractional coordinates:
K: 0.0000 0.1468 0.2500 (multiplicity 4)  3 Hg 3.76-3.84, 4 Na 4.03-4.08
K: 0.1970 0.1483 0.7488 (multiplicity 8)  1 Hg 3.65, 2 Na 4.02-4.04
Na: 0.0992 0.4980 0.0038 (multiplicity 8)  2 Hg 3.25-3.26, 1 Na 3.50
Hg: 0.0000 0.2724 0.7500 (multiplicity 4)  4 Na 3.25-3.26

***

Most favorable structure: B). The second most favorable one is 0.073 eV/atom above it.

***

A) A relaxed structure of KNa7Hg4. Source: Alexandria, functional PBE-GGA.

Computed properties:
**ρ**: 4366 kg/m3

Unit cell a=6.2031 b=7.9815 c=8.4141 alpha=112.78 beta=92.93 gamma=94.70
Last column: nearest neighbours and their distance in Å.
Space group P-1 (No. 2)
Inequivalent atoms, fractional coordinates:
K: 0.0000 0.0000 0.0000 (multiplicity 1)  8 Na 3.72-4.01, 4 Hg 3.74-4.15
Na: 0.0000 0.5000 0.0000 (multiplicity 1)  4 Hg 3.06-3.26
Na: 0.1953 0.5969 0.6613 (multiplicity 2)  5 Hg 3.14-3.43, 4 Na 3.33-3.48
Na: 0.3829 0.1751 0.4441 (multiplicity 2)  5 Hg 3.15-3.48, 3 Na 3.41-3.48
Na: 0.4719 0.2501 0.8789 (multiplicity 2)  3 Hg 3.26-3.61, 4 Na 3.48-3.65
Hg: 0.0857 0.8123 0.3931 (multiplicity 2)  2 Hg 3.14-3.15, 6 Na 3.17-3.48
Hg: 0.3160 0.4510 0.2660 (multiplicity 2)  8 Na 3.06-3.37, 1 Hg 3.15

***

B) A relaxed structure of KNa7Hg4. Source: Alexandria, functional PBE-GGA.

Computed properties:
**ρ**: 4390 kg/m3

Unit cell a=14.5175 b=5.8181 c=11.0506 alpha=90.00 beta=125.66 gamma=90.00
Last column: nearest neighbours and their distance in Å.
Space group C2/m (No. 12)
Inequivalent atoms, fractional coordinates:
K: 0.0000 0.0000 0.0000 (multiplicity 2)  2 Na 2.91
Na: 0.0000 0.5000 0.0000 (multiplicity 2)  2 K 2.91, 4 Hg 3.05-3.08
Na: 0.0646 0.0000 0.3910 (multiplicity 4)  3 Hg 3.08-3.37, 1 Na 3.37
Na: 0.1769 0.5000 0.6137 (multiplicity 4)  4 Hg 3.08-3.38
Na: 0.2178 0.0000 0.8734 (multiplicity 4)  4 Hg 3.27-3.44, 2 Na 3.37-3.47
Hg: 0.0631 0.5000 0.7777 (multiplicity 4)  1 Hg 3.07, 5 Na 3.08-3.37
Hg: 0.1861 0.5000 0.3340 (multiplicity 4)  6 Na 3.05-3.38, 1 Hg 3.07

***

Most favorable structure: A). The second most favorable one is 0.034 eV/atom above it.

***

A) A relaxed structure of KNa5Hg. Source: Alexandria, functional PBE-GGA.

Computed properties:
**ρ**: 2125 kg/m3

Unit cell a=10.5246 b=13.3082 c=8.6767 alpha=90.00 beta=114.17 gamma=90.00
Last column: nearest neighbours and their distance in Å.
Space group C2/c (No. 15)
Inequivalent atoms, fractional coordinates:
K: 0.0000 0.0000 0.0000 (multiplicity 4)  8 Na 3.86-4.18
Na: 0.0000 0.2397 0.2500 (multiplicity 4)  1 Hg 3.15, 6 Na 3.42-3.52
Na: 0.1638 0.3627 0.6265 (multiplicity 8)  2 Hg 3.20-3.36, 3 Na 3.42-3.52
Na: 0.1931 0.3699 0.0706 (multiplicity 8)  2 Hg 3.34-3.38, 4 Na 3.43-3.74
Hg: 0.0000 0.4763 0.2500 (multiplicity 4)  9 Na 3.15-3.38

***

B) A relaxed structure of KNa5Hg. Source: Alexandria, functional PBE-GGA.

Computed properties:
**ρ**: 2136 kg/m3

Unit cell a=4.8628 b=4.8628 c=11.6586 alpha=90.00 beta=90.00 gamma=90.00
Last column: nearest neighbours and their distance in Å.
Space group P4/mmm (No. 123)
Inequivalent atoms, fractional coordinates:
K: 0.0000 0.0000 0.0000 (multiplicity 1)  8 Na 4.19
Na: 0.0000 0.0000 0.5000 (multiplicity 1)  8 Na 3.43, 4 Hg 3.44
Na: 0.0000 0.5000 0.2926 (multiplicity 4)  2 Hg 3.43, 6 Na 3.43-3.44
Hg: 0.5000 0.5000 0.5000 (multiplicity 1)  12 Na 3.43-3.44

***

Most favorable structure: B). The second most favorable one is 0.010 eV/atom above it.